KThPdO4 | PBE | relaxed

- raw formation energy (eV/atom) = -1.9154
- Fermi-level density of states (states/eV/f.u.) = 0.1
- volume (A^3/atom) = 17.5

Cell lengths 7.085, 7.085, 7.085 Å; angles 125.37, 117.09, 88.04 degrees
Atoms (fractional coordinates):
K1 0.410 0.160 0.250
K2 0.590 0.840 0.750
Th1 0.000 0.500 0.500
Th2 0.500 0.500 0.000
Pd1 0.000 0.000 0.500
Pd2 0.000 0.500 0.000
O1 0.159 0.731 0.428
O2 0.196 0.269 0.928
O3 0.254 0.295 0.541
O4 0.254 0.713 0.959
O5 0.746 0.287 0.041
O6 0.746 0.705 0.459
O7 0.804 0.731 0.072
O8 0.841 0.269 0.572

***

K2TiPdO4 | PBE | relaxed

- raw formation energy (eV/atom) = -1.7935
- volume (A^3/atom) = 16.2

Cell lengths 5.531, 5.531, 5.531 Å; angles 111.68, 111.68, 105.15 degrees
Atoms (fractional coordinates):
K1 0.000 0.000 0.000
K2 0.750 0.250 0.500
Ti1 0.250 0.750 0.500
Pd1 0.500 0.500 0.000
O1 0.283 0.459 0.579
O2 0.296 0.717 0.176
O3 0.541 0.120 0.824
O4 0.880 0.704 0.421

***

KTiPdO4 | PBE | relaxed

- raw formation energy (eV/atom) = -1.6457
- Fermi-level density of states (states/eV/f.u.) = 0.4
- volume (A^3/atom) = 14.2

Cell lengths 6.741, 6.741, 6.741 Å; angles 126.87, 122.57, 82.05 degrees
Atoms (fractional coordinates):
K1 0.370 0.120 0.250
K2 0.630 0.880 0.750
Ti1 0.000 0.000 0.500
Ti2 0.000 0.500 0.000
Pd1 0.000 0.500 0.500
Pd2 0.500 0.500 0.000
O1 0.190 0.745 0.445
O2 0.199 0.255 0.945
O3 0.202 0.244 0.542
O4 0.202 0.660 0.958
O5 0.798 0.340 0.042
O6 0.798 0.756 0.458
O7 0.801 0.745 0.055
O8 0.810 0.255 0.555